A relaxed structure of Ba3Pa2As2O5. Source: the Alexandria database, functional PBE.

Cell and atoms, written as CIF:
```
data_Ba3Pa2As2O5
_chemical_formula_sum 'Ba6 Pa4 As4 O10'
_symmetry_space_group_name_H-M 'I 4/m m m'
_symmetry_Int_Tables_number 139
_symmetry_space_group_name_Hall '-I 4 2'
_cell_length_a 4.485
_cell_length_b 4.485
_cell_length_c 27.599
_cell_angle_alpha 90.00
_cell_angle_beta 90.00
_cell_angle_gamma 90.00
loop_
_atom_site_label
_atom_site_type_symbol
_atom_site_fract_x
_atom_site_fract_y
_atom_site_fract_z
Ba1 Ba 0.000 0.000 0.000
Ba2 Ba 0.000 0.000 0.193
Pa1 Pa 0.000 0.000 0.420
As1 As 0.000 0.000 0.319
O1 O 0.000 0.000 0.500
O2 O 0.000 0.500 0.070
```

Computed properties:
energy relative to the elements, uncorrected: -31.1 eV/f.u.
total magnetic moment: 0.012 μB per atom
crystal system: tetragonal